# Pm5Ga4H

A relaxed Pm5Ga4H crystal (PBE, Alexandria via LeMat-Bulk).

## Properties
**Raw total energy**: -42.74 eV per cell

abc: 7.1536 7.1536 7.1536
angles: 98.48 98.48 134.84
With the nearest neighbours (Å) after each atom.
Fractional coordinates of all 10 atoms:
Pm 0.0000 0.0000 0.0000  2 H 2.72-2.77
Pm 0.2649 0.6304 0.8939  1 H 2.51
Pm 0.3710 0.2649 0.6345  1 H 2.51
Pm 0.6304 0.7365 0.3655  1 H 2.51
Pm 0.7365 0.3710 0.1061  1 H 2.51
Ga 0.0538 0.3635 0.4161  1 Ga 2.75, 2 Pm 2.97-3.08
Ga 0.3635 0.9474 0.3097  1 Ga 2.75, 2 Pm 2.97-3.08
Ga 0.6377 0.0538 0.6903  1 Ga 2.75, 2 Pm 2.97-3.08
Ga 0.9474 0.6377 0.5839  1 Ga 2.75, 2 Pm 2.97-3.08
H 0.5042 0.5042 0.0000  6 Pm 2.51-2.77

***

# Pm12Ga3H5

A relaxed Pm12Ga3H5 crystal (PBE, Alexandria via LeMat-Bulk).

## Properties
**Raw total energy**: -355.12 eV per cell

abc: 13.6338 13.6338 13.6338
angles: 109.47 109.47 109.47
With the nearest neighbours (Å) after each atom.
Fractional coordinates of all 80 atoms:
Pm 0.0212 0.2108 0.1143  1 H 2.27
Pm 0.0212 0.3103 0.9069  1 H 2.27
Pm 0.0931 0.6143 0.4034  1 H 2.27
Pm 0.0931 0.9788 0.6897  1 H 2.27
Pm 0.0966 0.7108 0.6897  1 H 2.27
Pm 0.0966 0.8857 0.4069  1 H 2.27
Pm 0.1143 0.0212 0.2108  1 H 2.27
Pm 0.1143 0.5931 0.9034  1 H 2.27
Pm 0.1897 0.2108 0.5966  1 H 2.27
Pm 0.1897 0.4788 0.5931  1 H 2.27
Pm 0.2108 0.1143 0.0212  1 H 2.27
Pm 0.2108 0.5966 0.1897  1 H 2.27
Pm 0.2892 0.3103 0.9034  1 H 2.27
Pm 0.2892 0.4788 0.3857  1 H 2.27
Pm 0.3103 0.9034 0.2892  1 H 2.27
Pm 0.3103 0.9069 0.0212  1 H 2.27
Pm 0.3857 0.2892 0.4788  1 H 2.27
Pm 0.3857 0.5966 0.9069  1 H 2.27
Pm 0.4034 0.0931 0.6143  1 H 2.27
Pm 0.4034 0.8103 0.7892  1 H 2.27
Pm 0.4069 0.0966 0.8857  1 H 2.27
Pm 0.4069 0.8103 0.5212  1 H 2.27
Pm 0.4788 0.3857 0.2892  1 H 2.27
Pm 0.4788 0.5931 0.1897  1 H 2.27
Pm 0.5212 0.4069 0.8103  1 H 2.27
Pm 0.5212 0.6143 0.7108  1 H 2.27
Pm 0.5931 0.1897 0.4788  1 H 2.27
Pm 0.5931 0.9034 0.1143  1 H 2.27
Pm 0.5966 0.1897 0.2108  1 H 2.27
Pm 0.5966 0.9069 0.3857  1 H 2.27
Pm 0.6143 0.4034 0.0931  1 H 2.27
Pm 0.6143 0.7108 0.5212  1 H 2.27
Pm 0.6897 0.0931 0.9788  1 H 2.27
Pm 0.6897 0.0966 0.7108  1 H 2.27
Pm 0.7108 0.5212 0.6143  1 H 2.27
Pm 0.7108 0.6897 0.0966  1 H 2.27
Pm 0.7892 0.4034 0.8103  1 H 2.27
Pm 0.7892 0.8857 0.9788  1 H 2.27
Pm 0.8103 0.5212 0.4069  1 H 2.27
Pm 0.8103 0.7892 0.4034  1 H 2.27
Pm 0.8857 0.4069 0.0966  1 H 2.27
Pm 0.8857 0.9788 0.7892  1 H 2.27
Pm 0.9034 0.1143 0.5931  1 H 2.27
Pm 0.9034 0.2892 0.3103  1 H 2.27
Pm 0.9069 0.0212 0.3103  1 H 2.27
Pm 0.9069 0.3857 0.5966  1 H 2.27
Pm 0.9788 0.6897 0.0931  1 H 2.27
Pm 0.9788 0.7892 0.8857  1 H 2.27
Ga 0.1250 0.2500 0.3750  8 Pm 3.10-3.13
Ga 0.1250 0.3750 0.7500  8 Pm 3.10-3.13
Ga 0.2500 0.3750 0.1250  8 Pm 3.10-3.13
Ga 0.2500 0.8750 0.6250  8 Pm 3.10-3.13
Ga 0.3750 0.1250 0.2500  8 Pm 3.10-3.13
Ga 0.3750 0.7500 0.1250  8 Pm 3.10-3.13
Ga 0.6250 0.2500 0.8750  8 Pm 3.10-3.13
Ga 0.6250 0.8750 0.7500  8 Pm 3.10-3.13
Ga 0.7500 0.1250 0.3750  8 Pm 3.10-3.13
Ga 0.7500 0.6250 0.8750  8 Pm 3.10-3.13
Ga 0.8750 0.6250 0.2500  8 Pm 3.10-3.13
Ga 0.8750 0.7500 0.6250  8 Pm 3.10-3.13
H 0.0000 0.0000 0.0000  6 Pm 2.63
H 0.0000 0.0000 0.5000  6 Pm 2.63
H 0.0000 0.5000 0.0000  6 Pm 2.63
H 0.0000 0.5000 0.5000  6 Pm 2.63
H 0.1250 0.7500 0.8750  4 Pm 2.27
H 0.1250 0.8750 0.2500  4 Pm 2.27
H 0.2500 0.1250 0.8750  4 Pm 2.27
H 0.2500 0.6250 0.3750  4 Pm 2.27
H 0.3750 0.2500 0.6250  4 Pm 2.27
H 0.3750 0.6250 0.7500  4 Pm 2.27
H 0.5000 0.0000 0.0000  6 Pm 2.63
H 0.5000 0.0000 0.5000  6 Pm 2.63
H 0.5000 0.5000 0.0000  6 Pm 2.63
H 0.5000 0.5000 0.5000  6 Pm 2.63
H 0.6250 0.3750 0.2500  4 Pm 2.27
H 0.6250 0.7500 0.3750  4 Pm 2.27
H 0.7500 0.3750 0.6250  4 Pm 2.27
H 0.7500 0.8750 0.1250  4 Pm 2.27
H 0.8750 0.1250 0.7500  4 Pm 2.27
H 0.8750 0.2500 0.1250  4 Pm 2.27

***

# Pm4Ga2H

A relaxed Pm4Ga2H crystal (PBE, Alexandria via LeMat-Bulk).

## Properties
**Raw total energy**: -62.95 eV per cell

abc: 6.3108 6.7210 8.9472
angles: 90.00 110.67 90.00
With the nearest neighbours (Å) after each atom.
Fractional coordinates of all 14 atoms:
Pm 0.0264 0.0031 0.2688  1 H 2.31
Pm 0.0264 0.4969 0.2688  1 H 2.31
Pm 0.4047 0.2500 0.0792  1 H 2.30
Pm 0.4291 0.2500 0.6273  1 H 2.31
Pm 0.5709 0.7500 0.3727  1 H 2.31
Pm 0.5953 0.7500 0.9208  1 H 2.30
Pm 0.9736 0.5031 0.7312  1 H 2.31
Pm 0.9736 0.9969 0.7312  1 H 2.31
Ga 0.1916 0.7500 0.0428  6 Pm 3.08-3.12, 2 H 3.37-3.43
Ga 0.2698 0.7500 0.5767  6 Pm 3.04-3.16
Ga 0.7302 0.2500 0.4233  6 Pm 3.04-3.16
Ga 0.8084 0.2500 0.9572  6 Pm 3.08-3.12, 2 H 3.37-3.43
H 0.2375 0.2500 0.8051  4 Pm 2.30-2.31
H 0.7625 0.7500 0.1949  4 Pm 2.30-2.31

***

Record-wise DOS(E_F) values, in states/eV/cell: 7.2; 87.4; 9.8